[1]
First-principles (PBE) data for an optimized crystal structure of Cr2HgAu, as listed in the Alexandria database.

a = 7.449 Å, b = 7.449 Å, c = 6.039 Å
α = 51.92°, β = 51.92°, γ = 90.00°
Element x y z (fractional)
Cr 0.613 0.125 0.250
Cr 0.137 0.625 0.250
Cr 0.375 0.387 0.750
Cr 0.875 0.863 0.750
Au 0.500 0.500 0.000
Au 0.250 0.750 0.500
Hg 0.000 0.000 0.000
Hg 0.750 0.250 0.500

Computed properties:
- Size of the total moment: 8.7 μB per formula unit
- E_form: 0.710 eV per atom
- Theoretical density: 10.162 Mg/m³

=====

[2]
First-principles (PBE) data for an optimized crystal structure of Cr2HgAu, as listed in the Alexandria database.

a = 4.624 Å, b = 4.624 Å, c = 4.624 Å
α = 60.00°, β = 60.00°, γ = 60.00°
Element x y z (fractional)
Au 0.500 0.500 0.500
Cr 0.000 0.000 0.000
Cr 0.250 0.250 0.250
Hg 0.750 0.750 0.750

Computed properties:
- Size of the total moment: 0.0 μB per formula unit
- E_form: 0.351 eV per atom
- Theoretical density: 11.916 Mg/m³

=====

[3]
First-principles (PBE) data for an optimized crystal structure of CrHgAu2, as listed in the Alexandria database.

a = 3.224 Å, b = 3.769 Å, c = 6.065 Å
α = 90.00°, β = 90.00°, γ = 90.00°
Element x y z (fractional)
Au 0.000 0.000 0.006
Au 0.500 0.500 0.261
Cr 0.000 0.000 0.488
Hg 0.500 0.500 0.745

Computed properties:
- Size of the total moment: 3.9 μB per formula unit
- E_form: 0.159 eV per atom
- Theoretical density: 14.570 Mg/m³

=====

[4]
First-principles (PBE) data for an optimized crystal structure of CrHgAu2, as listed in the Alexandria database.

a = 4.253 Å, b = 4.253 Å, c = 4.100 Å
α = 90.00°, β = 90.00°, γ = 90.08°
Element x y z (fractional)
Au 0.000 0.000 0.000
Au 0.500 0.500 0.000
Cr 0.500 0.000 0.500
Hg 0.000 0.500 0.500

Computed properties:
- Size of the total moment: 4.2 μB per formula unit
- E_form: 0.146 eV per atom
- Theoretical density: 14.476 Mg/m³

=====

[5]
First-principles (PBE) data for an optimized crystal structure of CrHg2Au, as listed in the Alexandria database.

a = 4.815 Å, b = 4.815 Å, c = 4.815 Å
α = 60.00°, β = 60.00°, γ = 60.00°
Element x y z (fractional)
Au 0.500 0.500 0.500
Cr 0.250 0.250 0.250
Hg 0.000 0.000 0.000
Hg 0.750 0.750 0.750

Computed properties:
- Size of the total moment: 4.2 μB per formula unit
- E_form: 0.277 eV per atom
- Theoretical density: 13.674 Mg/m³
- Relative energy among the computed polymorphs: 61 meV/atom

=====

[6]
First-principles (PBE) data for an optimized crystal structure of CrHg4Au, as listed in the Alexandria database.

a = 5.811 Å, b = 5.811 Å, c = 5.811 Å
α = 60.00°, β = 60.00°, γ = 60.00°
Element x y z (fractional)
Cr 0.000 0.000 0.000
Hg 0.875 0.375 0.375
Hg 0.375 0.375 0.875
Hg 0.375 0.875 0.375
Hg 0.375 0.375 0.375
Au 0.750 0.750 0.750

Computed properties:
- Size of the total moment: 4.9 μB per formula unit
- E_form: 0.502 eV per atom
- Theoretical density: 12.581 Mg/m³

=====

[7]
First-principles (PBE) data for an optimized crystal structure of CrHg2Au, as listed in the Alexandria database.

a = 3.367 Å, b = 3.777 Å, c = 6.176 Å
α = 90.00°, β = 90.00°, γ = 90.00°
Element x y z (fractional)
Au 0.500 0.500 0.250
Cr 0.500 0.500 0.750
Hg 0.000 0.000 0.994
Hg 0.000 0.000 0.506

Computed properties:
- Size of the total moment: 4.2 μB per formula unit
- E_form: 0.265 eV per atom
- Theoretical density: 13.749 Mg/m³
- Relative energy among the computed polymorphs: 49 meV/atom

=====

[8]
First-principles (PBE) data for an optimized crystal structure of CrHg2Au, as listed in the Alexandria database.

a = 9.463 Å, b = 9.463 Å, c = 9.463 Å
α = 19.73°, β = 19.73°, γ = 19.73°
Element x y z (fractional)
Au 0.492 0.492 0.492
Cr 0.755 0.755 0.755
Hg 0.008 0.008 0.008
Hg 0.245 0.245 0.245

Computed properties:
- Size of the total moment: 4.3 μB per formula unit
- E_form: 0.296 eV per atom
- Theoretical density: 12.776 Mg/m³
- Relative energy among the computed polymorphs: 80 meV/atom

=====

[9]
First-principles (PBE) data for an optimized crystal structure of CrHg2Au, as listed in the Alexandria database.

a = 4.801 Å, b = 4.801 Å, c = 4.801 Å
α = 60.00°, β = 60.00°, γ = 60.00°
Element x y z (fractional)
Cr 0.000 0.000 0.000
Au 0.500 0.500 0.500
Hg 0.250 0.250 0.250
Hg 0.750 0.750 0.750

Computed properties:
- Size of the total moment: 4.1 μB per formula unit
- E_form: 0.266 eV per atom
- Theoretical density: 13.797 Mg/m³
- Relative energy among the computed polymorphs: 50 meV/atom

=====

[10]
First-principles (PBE) data for an optimized crystal structure of Cr2HgAu, as listed in the Alexandria database.

a = 4.958 Å, b = 4.958 Å, c = 4.958 Å
α = 133.87°, β = 133.85°, γ = 67.30°
Element x y z (fractional)
Au 0.250 0.750 0.500
Cr 0.000 0.000 0.000
Cr 0.500 0.500 0.000
Hg 0.750 0.250 0.500

Computed properties:
- Size of the total moment: 0.0 μB per formula unit
- E_form: 0.670 eV per atom
- Theoretical density: 13.367 Mg/m³

=====

[11]
First-principles (PBE) data for an optimized crystal structure of Cr2HgAu, as listed in the Alexandria database.

a = 8.934 Å, b = 8.934 Å, c = 8.934 Å
α = 18.90°, β = 18.90°, γ = 18.90°
Element x y z (fractional)
Au 0.740 0.740 0.740
Cr 0.988 0.988 0.988
Cr 0.266 0.266 0.266
Hg 0.506 0.506 0.506

Computed properties:
- Size of the total moment: 0.0 μB per formula unit
- E_form: 0.338 eV per atom
- Theoretical density: 12.738 Mg/m³

=====

[12]
First-principles (PBE) data for an optimized crystal structure of Cr2HgAu, as listed in the Alexandria database.

a = 3.567 Å, b = 3.567 Å, c = 5.806 Å
α = 90.00°, β = 90.00°, γ = 90.00°
Element x y z (fractional)
Au 0.500 0.500 0.785
Cr 0.000 0.000 0.975
Cr 0.500 0.500 0.262
Hg 0.000 0.000 0.478

Computed properties:
- Size of the total moment: 7.9 μB per formula unit
- E_form: 0.494 eV per atom
- Theoretical density: 11.271 Mg/m³

=====

[13]
First-principles (PBE) data for an optimized crystal structure of CrHg2Au, as listed in the Alexandria database.

a = 5.348 Å, b = 5.348 Å, c = 5.348 Å
α = 133.44°, β = 133.44°, γ = 67.97°
Element x y z (fractional)
Au 0.500 0.500 0.000
Cr 0.750 0.250 0.500
Hg 0.000 0.000 0.000
Hg 0.250 0.750 0.500

Computed properties:
- Size of the total moment: 4.3 μB per formula unit
- E_form: 0.260 eV per atom
- Theoretical density: 13.625 Mg/m³
- Relative energy among the computed polymorphs: 44 meV/atom

=====

[14]
First-principles (PBE) data for an optimized crystal structure of CrHg2Au, as listed in the Alexandria database.

a = 4.887 Å, b = 3.302 Å, c = 5.141 Å
α = 89.73°, β = 90.00°, γ = 90.00°
Element x y z (fractional)
Au 0.500 0.250 0.250
Cr 0.500 0.750 0.750
Hg 0.000 0.013 0.996
Hg 0.000 0.487 0.504

Computed properties:
- Size of the total moment: 4.3 μB per formula unit
- E_form: 0.304 eV per atom
- Theoretical density: 13.013 Mg/m³
- Relative energy among the computed polymorphs: 88 meV/atom

=====

[15]
First-principles (PBE) data for an optimized crystal structure of CrHg2Au, as listed in the Alexandria database.

a = 5.194 Å, b = 5.194 Å, c = 5.194 Å
α = 130.98°, β = 130.98°, γ = 71.84°
Element x y z (fractional)
Au 0.250 0.750 0.500
Cr 0.750 0.250 0.500
Hg 0.000 0.000 0.000
Hg 0.500 0.500 0.000

Computed properties:
- Size of the total moment: 4.1 μB per formula unit
- E_form: 0.248 eV per atom
- Theoretical density: 13.820 Mg/m³
- Relative energy among the computed polymorphs: 32 meV/atom

=====

[16]
First-principles (PBE) data for an optimized crystal structure of CrHg2Au, as listed in the Alexandria database.

a = 5.029 Å, b = 5.029 Å, c = 5.188 Å
α = 78.51°, β = 78.51°, γ = 38.61°
Element x y z (fractional)
Au 0.250 0.250 0.250
Cr 0.750 0.750 0.750
Hg 0.004 0.004 0.995
Hg 0.496 0.496 0.505

Computed properties:
- Size of the total moment: 4.1 μB per formula unit
- E_form: 0.262 eV per atom
- Theoretical density: 13.493 Mg/m³
- Relative energy among the computed polymorphs: 46 meV/atom

=====

[17]
First-principles (PBE) data for an optimized crystal structure of CrHgAu2, as listed in the Alexandria database.

a = 5.097 Å, b = 5.097 Å, c = 4.212 Å
α = 65.59°, β = 65.59°, γ = 48.81°
Element x y z (fractional)
Au 0.000 0.000 0.000
Au 0.750 0.750 0.750
Cr 0.500 0.500 0.500
Hg 0.250 0.250 0.250

Computed properties:
- Size of the total moment: 4.1 μB per formula unit
- E_form: 0.131 eV per atom
- Theoretical density: 14.626 Mg/m³

=====

[18]
First-principles (PBE) data for an optimized crystal structure of CrHgAu2, as listed in the Alexandria database.

a = 7.651 Å, b = 7.651 Å, c = 6.090 Å
α = 51.08°, β = 51.08°, γ = 90.00°
Element x y z (fractional)
Cr 0.500 0.500 0.000
Cr 0.250 0.750 0.500
Au 0.608 0.125 0.250
Au 0.142 0.625 0.250
Au 0.375 0.392 0.750
Au 0.875 0.858 0.750
Hg 0.000 0.000 0.000
Hg 0.750 0.250 0.500

Computed properties:
- Size of the total moment: 4.2 μB per formula unit
- E_form: 0.296 eV per atom
- Theoretical density: 13.121 Mg/m³

=====

[19]
First-principles (PBE) data for an optimized crystal structure of CrHgAu2, as listed in the Alexandria database.

a = 5.037 Å, b = 5.037 Å, c = 5.037 Å
α = 129.90°, β = 129.75°, γ = 73.69°
Element x y z (fractional)
Au 0.000 0.000 0.000
Au 0.500 0.500 0.000
Cr 0.750 0.250 0.500
Hg 0.250 0.750 0.500

Computed properties:
- Size of the total moment: 4.0 μB per formula unit
- E_form: 0.154 eV per atom
- Theoretical density: 14.599 Mg/m³

=====

[20]
First-principles (PBE) data for an optimized crystal structure of CrHg2Au, as listed in the Alexandria database.

a = 3.213 Å, b = 3.213 Å, c = 7.839 Å
α = 90.00°, β = 90.00°, γ = 90.00°
Element x y z (fractional)
Au 0.000 0.000 0.530
Cr 0.500 0.500 0.734
Hg 0.000 0.000 0.970
Hg 0.500 0.500 0.267

Computed properties:
- Size of the total moment: 4.1 μB per formula unit
- E_form: 0.229 eV per atom
- Theoretical density: 13.342 Mg/m³
- Relative energy among the computed polymorphs: 13 meV/atom

=====

[21]
First-principles (PBE) data for an optimized crystal structure of CrHgAu2, as listed in the Alexandria database.

a = 9.021 Å, b = 9.021 Å, c = 9.021 Å
α = 20.08°, β = 20.08°, γ = 20.08°
Element x y z (fractional)
Au 0.998 0.998 0.998
Au 0.246 0.246 0.246
Cr 0.503 0.503 0.503
Hg 0.753 0.753 0.753

Computed properties:
- Size of the total moment: 3.8 μB per formula unit
- E_form: 0.264 eV per atom
- Theoretical density: 14.174 Mg/m³

=====

[22]
First-principles (PBE) data for an optimized crystal structure of CrHgAu2, as listed in the Alexandria database.

a = 3.294 Å, b = 3.214 Å, c = 7.730 Å
α = 65.07°, β = 90.00°, γ = 90.00°
Element x y z (fractional)
Au 0.000 0.976 0.028
Au 0.000 0.524 0.472
Cr 0.500 0.250 0.250
Hg 0.500 0.750 0.750

Computed properties:
- Size of the total moment: 3.8 μB per formula unit
- E_form: 0.129 eV per atom
- Theoretical density: 14.468 Mg/m³

=====

[23]
First-principles (PBE) data for an optimized crystal structure of CrHg2Au, as listed in the Alexandria database.

a = 4.266 Å, b = 7.438 Å, c = 4.337 Å
α = 54.26°, β = 90.05°, γ = 125.09°
Element x y z (fractional)
Au 0.500 0.500 0.000
Cr 0.500 0.000 0.500
Hg 0.000 0.000 0.000
Hg 0.000 0.500 0.500

Computed properties:
- Size of the total moment: 4.0 μB per formula unit
- E_form: 0.249 eV per atom
- Theoretical density: 13.680 Mg/m³
- Relative energy among the computed polymorphs: 33 meV/atom

=====

[24]
First-principles (PBE) data for an optimized crystal structure of Cr2HgAu, as listed in the Alexandria database.

a = 3.062 Å, b = 3.062 Å, c = 7.142 Å
α = 90.00°, β = 90.00°, γ = 90.00°
Element x y z (fractional)
Au 0.500 0.500 0.783
Cr 0.000 0.000 0.034
Cr 0.500 0.500 0.203
Hg 0.000 0.000 0.481

Computed properties:
- Size of the total moment: 0.1 μB per formula unit
- E_form: 0.239 eV per atom
- Theoretical density: 12.442 Mg/m³

=====

[25]
First-principles (PBE) data for an optimized crystal structure of Cr2HgAu, as listed in the Alexandria database.

a = 5.169 Å, b = 5.169 Å, c = 4.749 Å
α = 77.38°, β = 77.38°, γ = 35.90°
Element x y z (fractional)
Au 0.255 0.255 0.203
Cr 0.994 0.994 0.044
Cr 0.753 0.753 0.713
Hg 0.498 0.498 0.540

Computed properties:
- Size of the total moment: 7.9 μB per formula unit
- E_form: 0.447 eV per atom
- Theoretical density: 11.500 Mg/m³

=====

[26]
First-principles (PBE) data for an optimized crystal structure of CrHg2Au, as listed in the Alexandria database.

a = 7.760 Å, b = 7.760 Å, c = 6.210 Å
α = 51.33°, β = 51.33°, γ = 90.00°
Element x y z (fractional)
Cr 0.500 0.500 0.000
Cr 0.250 0.750 0.500
Au 0.000 0.000 0.000
Au 0.750 0.250 0.500
Hg 0.621 0.125 0.250
Hg 0.129 0.625 0.250
Hg 0.375 0.379 0.750
Hg 0.875 0.871 0.750

Computed properties:
- Size of the total moment: 4.2 μB per formula unit
- E_form: 0.385 eV per atom
- Theoretical density: 12.333 Mg/m³
- Relative energy among the computed polymorphs: 169 meV/atom

=====

[27]
First-principles (PBE) data for an optimized crystal structure of CrHgAu2, as listed in the Alexandria database.

a = 3.140 Å, b = 3.140 Å, c = 7.487 Å
α = 90.00°, β = 90.00°, γ = 90.01°
Element x y z (fractional)
Au 0.000 0.000 0.010
Au 0.500 0.500 0.266
Cr 0.000 0.000 0.486
Hg 0.500 0.500 0.738

Computed properties:
- Size of the total moment: 3.8 μB per formula unit
- E_form: 0.178 eV per atom
- Theoretical density: 14.545 Mg/m³

=====

[28]
First-principles (PBE) data for an optimized crystal structure of CrHgPbAu2, as listed in the Alexandria database.

a = 5.066 Å, b = 5.150 Å, c = 5.066 Å
α = 90.00°, β = 90.00°, γ = 90.00°
Element x y z (fractional)
Pb 0.500 0.500 0.500
Cr 0.000 0.000 0.000
Au 0.000 0.000 0.500
Au 0.500 0.000 0.000
Hg 0.000 0.500 0.000

Computed properties:
- Size of the total moment: 4.2 μB per formula unit
- E_form: 0.512 eV per atom
- Theoretical density: 10.727 Mg/m³

=====

[29]
First-principles (PBE) data for an optimized crystal structure of CrHg2SbAu, as listed in the Alexandria database.

a = 5.253 Å, b = 5.008 Å, c = 5.253 Å
α = 90.00°, β = 90.00°, γ = 90.00°
Element x y z (fractional)
Sb 0.000 0.500 0.000
Au 0.500 0.500 0.500
Hg 0.000 0.000 0.500
Hg 0.500 0.000 0.000
Cr 0.000 0.000 0.000

Computed properties:
- Size of the total moment: 3.2 μB per formula unit
- Formation energy from raw total energies: 0.56 eV per atom
- Theoretical density: 9.277 Mg/m³

=====

[30]
First-principles (PBE) data for an optimized crystal structure of V2CrHgAu, as listed in the Alexandria database.

a = 4.762 Å, b = 5.044 Å, c = 4.762 Å
α = 90.00°, β = 90.00°, γ = 90.00°
Element x y z (fractional)
Cr 0.500 0.500 0.500
Au 0.000 0.000 0.000
Hg 0.000 0.500 0.000
V 0.000 0.000 0.500
V 0.500 0.000 0.000

Computed properties:
- Size of the total moment: 0.4 μB per formula unit
- E_form: 2.001 eV per atom
- Theoretical density: 8.007 Mg/m³